[1]
This record from Alexandria via LeMat-Bulk describes a relaxed Li2InAu6 crystal. The functional is GGA-PBE.

Cell lengths 8.668, 8.668, 4.205 Å; angles 90.00, 90.00, 90.00 degrees
Space group P4_2/mnm (No. 136)
Unique sites:
Li1 0.185 0.185 0.000 x4
In1 0.000 0.000 0.500 x2
Au1 0.007 0.330 0.500 x8
Au2 0.157 0.843 0.000 x4

Polymorph energy (0 for the lowest one)   0 meV/atom
Calculated total energy   -3.25 eV per atom
Formation energy from the elements   -0.3348 eV per atom


[2]
This record from Alexandria via LeMat-Bulk describes a relaxed Li2InAu crystal. The functional is GGA-PBE.

Cell lengths 3.271, 3.271, 6.428 Å; angles 90.00, 90.00, 90.00 degrees
Space group P4/mmm (No. 123)
Unique sites:
Li1 0.000 0.000 0.218 x2
In1 0.500 0.500 0.500 x1
Au1 0.500 0.500 0.000 x1

Calculated total energy   -2.90 eV per atom
Formation energy from the elements   -0.4392 eV per atom


[3]
This record from Alexandria via LeMat-Bulk describes a relaxed LiInAu2 crystal. The functional is GGA-PBE.

Cell lengths 4.105, 4.105, 19.001 Å; angles 90.00, 90.00, 90.00 degrees
Space group I-42d (No. 122)
Unique sites:
Li1 0.000 0.000 0.000 x4
In1 0.000 0.000 0.500 x4
Au1 0.240 0.250 0.125 x8

Calculated total energy   -2.97 eV per atom
Formation energy from the elements   -0.1657 eV per atom


[4]
This record from Alexandria via LeMat-Bulk describes a relaxed LiInAu2 crystal. The functional is GGA-PBE.

Cell lengths 3.8999, 3.8999, 19.1077 Å; angles 90.00, 90.00, 120.00 degrees
Space group R3m (No. 160, hexagonal axes)
Unique sites:
Li1 0.0000 0.0000 0.0000 x3
In1 0.0000 0.0000 0.8313 x3
Au1 0.0000 0.0000 0.2583 x3
Au2 0.0000 0.0000 0.4055 x3

Calculated total energy   -3.07 eV per atom
Formation energy from the elements   -0.2682 eV per atom